(1)
# K3Fe2Cl8

A geometry-optimized K3Fe2Cl8 structure (PBE-GGA, the Alexandria database).

* space group: R-3m
* formation energy from raw total energies: -1355 meV per atom
* crystal system: trigonal

Geometry as extended XYZ:
```
13
Lattice="3.6076 2.0828 8.7285 -3.6076 2.0828 8.7285 0.0000 -4.1656 8.7285" Properties=species:S:1:pos:R:3 pbc="T T T"
K 0.0000 0.0000 0.0000
K 0.0000 0.0000 5.3159
K 0.0000 0.0000 20.8694
Fe 0.0000 0.0000 10.6309
Fe 0.0000 0.0000 15.5544
Cl -1.8349 -1.0594 14.7936
Cl 0.0000 -2.1187 11.3917
Cl -1.8349 1.0594 11.3917
Cl 0.0000 0.0000 8.3993
Cl 0.0000 0.0000 17.7861
Cl 1.8349 -1.0594 14.7936
Cl 0.0000 2.1187 14.7936
Cl 1.8349 1.0594 11.3917
```

(2)
# KFeCl2

A geometry-optimized KFeCl2 structure (PBE-GGA, the Alexandria database).

* space group: Cmmm
* formation energy from raw total energies: -671 meV per atom
* crystal system: orthorhombic

Geometry as extended XYZ:
```
4
Lattice="1.9059 -5.1482 0.0000 1.9059 5.1482 0.0000 0.0000 0.0000 7.7327" Properties=species:S:1:pos:R:3 pbc="T T T"
K 0.0000 0.0000 0.0000
Fe 0.0000 0.0000 3.8664
Cl 1.9059 0.0000 2.3094
Cl 1.9059 0.0000 5.4233
```

(3)
# KFe2Cl

A geometry-optimized KFe2Cl structure (PBE-GGA, the Alexandria database).

* space group: Cm
* formation energy from raw total energies: 167 meV per atom
* crystal system: monoclinic

Geometry as extended XYZ:
```
4
Lattice="3.2269 -1.5596 0.0000 3.2269 1.5596 0.0000 -2.4378 0.0000 8.3023" Properties=species:S:1:pos:R:3 pbc="T T T"
K 0.0000 0.0000 0.0000
Fe -0.6425 0.0000 5.5542
Fe 1.3596 0.0000 4.1669
Cl 4.5038 0.0000 2.2358
```

(4)
# K3FeCl6

A geometry-optimized K3FeCl6 structure (PBE-GGA, the Alexandria database).

* space group: Cmc2_1
* formation energy from raw total energies: -1474 meV per atom
* crystal system: orthorhombic

Geometry as extended XYZ:
```
20
Lattice="6.2558 -7.5659 0.0000 6.2558 7.5659 0.0000 0.0000 0.0000 7.7011" Properties=species:S:1:pos:R:3 pbc="T T T"
K 6.2558 6.5339 3.8506
K 3.7219 1.4598 4.4289
K 3.7219 -1.4598 0.5783
K 8.7897 1.4598 4.4289
K 8.7897 -1.4598 0.5783
K 6.2558 -6.5339 0.0000
Fe 6.2558 2.8686 1.1851
Fe 6.2558 -2.8686 5.0357
Cl 4.4908 3.8585 2.0866
Cl 2.1047 0.4772 2.1550
Cl 2.1047 -0.4772 6.0055
Cl 6.2558 2.9493 6.6868
Cl 8.0208 3.8585 2.0866
Cl 6.2558 0.7640 1.9087
Cl 6.2558 -0.7640 5.7593
Cl 4.4908 -3.8585 5.9372
Cl 6.2558 -2.9493 2.8363
Cl 10.4069 0.4772 2.1550
Cl 10.4069 -0.4772 6.0055
Cl 8.0208 -3.8585 5.9372
```